An optimized crystal structure of TmBeAl2Au4. Source: Alexandria via LeMat-Bulk, functional GGA-PBE.

```
TmBeAl2Au4
1.0
-1.698 0.337 -3.994
-4.179 -1.010 -0.681
-4.193 7.918 0.078
Au Be Al Tm
4 1 2 1
Direct
0.137 0.137 0.589
0.602 0.602 0.194
0.863 0.863 0.411
0.398 0.398 0.806
0.500 0.500 0.500
0.243 0.243 0.270
0.757 0.757 0.730
0.000 0.000 0.000
```

Computed properties:
DFT formation energy   -3.78 eV per formula unit
Total moment   0.000 Bohr magnetons per cell
Space group   R-3m, No. 166
Energy   -32.569 eV/f.u.